Entry 1:
A plane-wave DFT calculation with GGA-PBE was carried out for an optimized crystal structure of LaMn2Cu.

Calculated values
DOS at the Fermi energy   3.5 states/eV per cell
Energy of formation   0.3183 eV/atom

abc: 3.2156 3.2156 7.1235
angles: 90.00 90.00 90.00
Closest atoms and distances in Å follow each position.
Space group P4/mmm (No. 123)
Symmetry-distinct sites (fractional):
La (0.0000, 0.0000, 0.0000) [1 per cell]  8 Mn 3.19, 4 La 3.22, 2 Cu 3.56
Mn (0.5000, 0.5000, 0.3131) [2 per cell]  4 Cu 2.63, 1 Mn 2.66
Cu (0.0000, 0.0000, 0.5000) [1 per cell]  8 Mn 2.63

***

Entry 2:
A plane-wave DFT calculation with GGA-PBE was carried out for an optimized crystal structure of La4MnCu.

Calculated values
DOS at the Fermi energy   37.1 states/eV per cell
Energy of formation   0.7378 eV/atom

abc: 9.0484 9.0484 9.0484
angles: 90.00 90.00 90.00
Closest atoms and distances in Å follow each position.
Space group F-43m (No. 216)
Symmetry-distinct sites (fractional):
La (0.1245, 0.1245, 0.1245) [16 per cell]  6 La 3.19-3.21
Mn (0.2500, 0.2500, 0.7500) [4 per cell]  12 La 3.75, 4 Cu 3.92
Cu (0.0000, 0.0000, 0.5000) [4 per cell]  12 La 3.75, 4 Mn 3.92

***

Entry 3:
A plane-wave DFT calculation with GGA-PBE was carried out for an optimized crystal structure of La3MnCu.

Calculated values
DOS at the Fermi energy   6.1 states/eV per cell
Energy of formation   0.2346 eV/atom

abc: 5.2179 5.2179 5.2179
angles: 90.00 90.00 90.00
Closest atoms and distances in Å follow each position.
Space group Pm-3m (No. 221)
Symmetry-distinct sites (fractional):
La (0.0000, 0.0000, 0.5000) [3 per cell]  2 Mn 2.61
Mn (0.0000, 0.0000, 0.0000) [1 per cell]  6 La 2.61
Cu (0.5000, 0.5000, 0.5000) [1 per cell]  12 La 3.69

***

Entry 4:
A plane-wave DFT calculation with GGA-PBE was carried out for an optimized crystal structure of LaMn2Cu.

Calculated values
DOS at the Fermi energy   16.8 states/eV per cell
Energy of formation   0.4953 eV/atom

abc: 4.3604 4.3604 17.6248
angles: 90.00 90.00 90.00
Closest atoms and distances in Å follow each position.
Space group I4_1/amd (No. 141, origin choice 2)
Symmetry-distinct sites (fractional):
La (0.0000, 0.2500, 0.3750) [4 per cell]  4 Cu 3.08, 8 Mn 3.29
Mn (0.0000, 0.0000, 0.0000) [8 per cell]  2 Mn 2.18
Cu (0.0000, 0.2500, 0.8750) [4 per cell]  4 Mn 2.46

***

Entry 5:
A plane-wave DFT calculation with GGA-PBE was carried out for an optimized crystal structure of LaMn2Cu.

Calculated values
DOS at the Fermi energy   11.0 states/eV per cell
Energy of formation   0.9042 eV/atom

abc: 3.0268 3.0268 30.9648
angles: 90.00 90.00 120.00
Closest atoms and distances in Å follow each position.
Space group R-3m (No. 166, hexagonal axes)
Symmetry-distinct sites (fractional):
La (0.0000, 0.0000, 0.0000) [3 per cell]  6 La 3.03, 6 Mn 3.20
Mn (0.0000, 0.0000, 0.4198) [6 per cell]  1 Cu 2.48
Cu (0.0000, 0.0000, 0.5000) [3 per cell]  2 Mn 2.48

***

Entry 6:
A plane-wave DFT calculation with GGA-PBE was carried out for an optimized crystal structure of LaMnCu.

Calculated values
DOS at the Fermi energy   8.2 states/eV per cell
Energy of formation   0.8111 eV/atom

abc: 6.8100 6.8100 6.8100
angles: 90.00 90.00 90.00
Closest atoms and distances in Å follow each position.
Space group F-43m (No. 216)
Symmetry-distinct sites (fractional):
La (0.0000, 0.0000, 0.0000) [4 per cell]  4 Mn 2.95, 4 Cu 2.95
Mn (0.2500, 0.2500, 0.2500) [4 per cell]  4 La 2.95
Cu (0.2500, 0.2500, 0.7500) [4 per cell]  4 La 2.95

***

Entry 7:
A plane-wave DFT calculation with GGA-PBE was carried out for an optimized crystal structure of LaMn2Cu.

Calculated values
DOS at the Fermi energy   21.2 states/eV per cell
Energy of formation   0.4621 eV/atom

abc: 6.5720 6.5720 6.5720
angles: 90.00 90.00 90.00
Closest atoms and distances in Å follow each position.
Space group Fm-3m (No. 225)
Symmetry-distinct sites (fractional):
La (0.0000, 0.0000, 0.0000) [4 per cell]  8 Mn 2.85
Mn (0.2500, 0.2500, 0.2500) [8 per cell]  4 La 2.85, 4 Cu 2.85
Cu (0.0000, 0.0000, 0.5000) [4 per cell]  8 Mn 2.85

***

Entry 8:
A plane-wave DFT calculation with GGA-PBE was carried out for an optimized crystal structure of LaMn2Cu.

Calculated values
DOS at the Fermi energy   10.0 states/eV per cell
Energy of formation   0.5201 eV/atom

abc: 3.1122 3.1122 26.7079
angles: 90.00 90.00 120.00
Closest atoms and distances in Å follow each position.
Space group R3m (No. 160, hexagonal axes)
Symmetry-distinct sites (fractional):
La (0.0000, 0.0000, 0.0000) [3 per cell]  6 La 3.11, 3 Cu 3.14, 3 Mn 3.31
Mn (0.0000, 0.0000, 0.5021) [3 per cell]  3 Mn 2.49, 3 Cu 2.56
Mn (0.0000, 0.0000, 0.7707) [3 per cell]  3 Mn 2.49
Cu (0.0000, 0.0000, 0.2369) [3 per cell]  3 Mn 2.56